Model 1:
Compound: Hf3MoPd
Source: the Alexandria database
Functional: PBE
Structure: relaxed

SG = Pm-3m

```
5
Lattice="-3.212 3.776 -0.177 -2.241 -1.715 4.080 3.045 2.721 2.816" Properties=species:S:1:pos:R:3 pbc="T T T"
Hf -1.120 -0.857 2.040
Hf 1.522 1.361 1.408
Hf -1.606 1.888 -0.088
Pd -1.204 2.392 3.359
Mo 0.000 0.000 0.000
```

Model 2:
Compound: Hf3MoPd
Source: the Alexandria database
Functional: PBE
Structure: relaxed

SG = Pm-3m

```
5
Lattice="4.935 0.000 0.000 0.000 4.935 0.000 0.000 0.000 4.935" Properties=species:S:1:pos:R:3 pbc="T T T"
Hf 0.000 0.000 2.467
Hf 2.467 0.000 0.000
Hf 0.000 2.467 0.000
Mo 2.467 2.467 2.467
Pd 0.000 0.000 0.000
```

Most stable structure: model 1

Model 1:
Compound: HfMo2Pt
Source: the Alexandria database
Functional: PBE
Structure: relaxed

SG = Fm-3m

```
4
Lattice="0.000 3.230 3.230 3.230 0.000 3.230 3.230 3.230 0.000" Properties=species:S:1:pos:R:3 pbc="T T T"
Pt 3.230 3.230 3.230
Hf 0.000 0.000 0.000
Mo 1.615 1.615 1.615
Mo 4.845 4.845 4.845
```

Model 2:
Compound: HfMo2Pt
Source: the Alexandria database
Functional: PBE
Structure: relaxed

SG = I-42d

```
8
Lattice="-4.924 5.321 2.140 -4.074 -1.260 -6.241 -5.891 0.231 -0.779" Properties=species:S:1:pos:R:3 pbc="T T T"
Mo -7.689 1.728 -1.964
Mo -5.184 3.361 0.417
Mo -4.509 -0.200 -3.882
Mo -12.395 3.695 -4.331
Pt -7.657 3.791 -0.345
Pt 0.000 0.000 0.000
Hf -7.232 0.501 -4.536
Hf -4.499 2.031 -2.051
```

Most stable structure: model 1

Model 1:
Compound: HfMoPt2
Source: the Alexandria database
Functional: PBE
Structure: relaxed

SG = Fm-3m

```
4
Lattice="0.670 3.003 3.423 -3.048 0.291 3.436 1.117 -1.512 4.201" Properties=species:S:1:pos:R:3 pbc="T T T"
Hf -0.630 0.891 5.530
Mo 0.000 0.000 0.000
Pt -0.946 1.336 8.295
Pt -0.315 0.445 2.765
```

Model 2:
Compound: HfMoPt2
Source: the Alexandria database
Functional: PBE
Structure: relaxed

SG = I-42d

```
8
Lattice="-2.614 -2.838 0.978 0.652 -1.803 -3.488 5.816 -7.263 2.570" Properties=species:S:1:pos:R:3 pbc="T T T"
Mo 2.744 -5.693 -1.087
Mo -0.981 -2.320 -1.255
Pt -0.083 -3.799 0.812
Pt 3.630 -7.198 0.966
Pt 2.642 -9.498 -0.249
Pt 1.520 -3.313 -1.410
Hf 1.111 -6.211 1.146
Hf 0.000 0.000 0.000
```

Most stable structure: model 1